1.
Crystalline ReGeSbTe2 at its relaxed geometry. Source: Alexandria, functional PBE.

Lattice parameters (Å, degrees): 5.159 5.159 5.123 90.00 90.00 90.00
Sites, in units of the cell vectors:
1 Re 0.000 0.000 0.000
2 Ge 0.500 0.500 0.500
3 Sb 0.500 0.500 0.000
4 Te 0.000 0.500 0.500
5 Te 0.500 0.000 0.500

Calculated values
Calculated total energy = -19.0 eV per cell
Formation energy without anion corrections = 8.45 eV per formula unit
Energy above the lowest structure with this stoichiometry = 0.8410 eV per atom
Theoretical density = 7.74 g/cm3

2.
Crystalline ReGeSb2Te at its relaxed geometry. Source: Alexandria, functional PBE.

Lattice parameters (Å, degrees): 5.266 5.266 5.241 90.00 90.00 90.00
Sites, in units of the cell vectors:
1 Re 0.000 0.000 0.000
2 Ge 0.500 0.500 0.500
3 Sb 0.000 0.500 0.500
4 Sb 0.500 0.000 0.500
5 Te 0.500 0.500 0.000

Calculated values
Calculated total energy = -20.6 eV per cell
Formation energy without anion corrections = 7.85 eV per formula unit
Energy above the lowest structure with this stoichiometry = 0.7429 eV per atom
Theoretical density = 7.20 g/cm3

3.
Crystalline ScReGe2 at its relaxed geometry. Source: Alexandria, functional PBE.

Lattice parameters (Å, degrees): 9.461 10.226 8.382 90.00 90.00 90.00
Sites, in units of the cell vectors:
1 Sc 0.165 0.178 0.000
2 Sc 0.170 0.452 0.244
3 Sc 0.170 0.452 0.756
4 Sc 0.330 0.952 0.244
5 Sc 0.330 0.952 0.756
6 Sc 0.335 0.678 0.000
7 Sc 0.665 0.322 0.000
8 Sc 0.670 0.048 0.244
9 Sc 0.670 0.048 0.756
10 Sc 0.830 0.548 0.244
11 Sc 0.830 0.548 0.756
12 Sc 0.835 0.822 0.000
13 Re 0.000 0.000 0.242
14 Re 0.000 0.000 0.758
15 Re 0.079 0.748 0.249
16 Re 0.079 0.748 0.751
17 Re 0.421 0.248 0.249
18 Re 0.421 0.248 0.751
19 Re 0.500 0.500 0.242
20 Re 0.500 0.500 0.758
21 Re 0.579 0.752 0.249
22 Re 0.579 0.752 0.751
23 Re 0.921 0.252 0.249
24 Re 0.921 0.252 0.751
25 Ge 0.034 0.620 0.500
26 Ge 0.042 0.618 0.000
27 Ge 0.135 0.912 0.500
28 Ge 0.142 0.901 0.000
29 Ge 0.174 0.180 0.347
30 Ge 0.174 0.180 0.653
31 Ge 0.326 0.680 0.347
32 Ge 0.326 0.680 0.653
33 Ge 0.358 0.401 0.000
34 Ge 0.365 0.412 0.500
35 Ge 0.458 0.118 0.000
36 Ge 0.466 0.120 0.500
37 Ge 0.534 0.880 0.500
38 Ge 0.542 0.882 0.000
39 Ge 0.635 0.588 0.500
40 Ge 0.642 0.599 0.000
41 Ge 0.674 0.320 0.347
42 Ge 0.674 0.320 0.653
43 Ge 0.826 0.820 0.347
44 Ge 0.826 0.820 0.653
45 Ge 0.858 0.099 0.000
46 Ge 0.865 0.088 0.500
47 Ge 0.958 0.382 0.000
48 Ge 0.966 0.380 0.500

Calculated values
Formation energy from the elements = -0.484 eV/atom
Calculated total energy = -359.4 eV per cell
Energy above the lowest structure with this stoichiometry = 0.0000 eV per atom
Theoretical density = 9.25 g/cm3

4.
Crystalline ScReGe2 at its relaxed geometry. Source: Alexandria, functional PBE.

Lattice parameters (Å, degrees): 4.501 4.501 4.501 60.00 60.00 60.00
Sites, in units of the cell vectors:
1 Sc 0.000 0.000 0.000
2 Re 0.500 0.500 0.500
3 Ge 0.250 0.250 0.250
4 Ge 0.750 0.750 0.750

Calculated values
Formation energy from the elements = -0.221 eV/atom
Calculated total energy = -28.9 eV per cell
Energy above the lowest structure with this stoichiometry = 0.2632 eV per atom
Theoretical density = 9.70 g/cm3

5.
Crystalline Sc2ReGe at its relaxed geometry. Source: Alexandria, functional PBE.

Lattice parameters (Å, degrees): 9.853 9.853 9.853 18.45 18.45 18.45
Sites, in units of the cell vectors:
1 Sc 0.098 0.098 0.098
2 Sc 0.902 0.902 0.902
3 Re 0.500 0.500 0.500
4 Ge 0.000 0.000 0.000

Calculated values
Formation energy from the elements = 0.178 eV/atom
Calculated total energy = -29.0 eV per cell
Theoretical density = 6.92 g/cm3

6.
Crystalline ScRe3Ge at its relaxed geometry. Source: Alexandria, functional PBE.

Lattice parameters (Å, degrees): 4.574 4.574 4.574 90.00 90.00 90.00
Sites, in units of the cell vectors:
1 Sc 0.000 0.000 0.000
2 Re 0.000 0.500 0.500
3 Re 0.500 0.000 0.500
4 Re 0.500 0.500 0.000
5 Ge 0.500 0.500 0.500

Calculated values
Formation energy from the elements = 1.222 eV/atom
Calculated total energy = -42.2 eV per cell
Energy above the lowest structure with this stoichiometry = 0.0000 eV per atom
Theoretical density = 11.73 g/cm3

7.
Crystalline Sc2ReGe at its relaxed geometry. Source: Alexandria, functional PBE.

Lattice parameters (Å, degrees): 6.001 6.001 6.001 101.83 101.83 126.16
Sites, in units of the cell vectors:
1 Sc 0.092 0.625 0.967
2 Sc 0.375 0.342 0.467
3 Sc 0.658 0.125 0.033
4 Sc 0.875 0.908 0.533
5 Re 0.000 0.000 0.000
6 Re 0.750 0.250 0.500
7 Ge 0.250 0.750 0.500
8 Ge 0.500 0.500 0.000

Calculated values
Formation energy from the elements = 0.291 eV/atom
Calculated total energy = -57.1 eV per cell
Theoretical density = 7.45 g/cm3

8.
Crystalline ScReGe3 at its relaxed geometry. Source: Alexandria, functional PBE.

Lattice parameters (Å, degrees): 4.826 4.826 4.826 90.00 90.00 90.00
Sites, in units of the cell vectors:
1 Sc 0.000 0.000 0.000
2 Re 0.500 0.500 0.500
3 Ge 0.000 0.500 0.500
4 Ge 0.500 0.000 0.500
5 Ge 0.500 0.500 0.000

Calculated values
Formation energy from the elements = 0.399 eV/atom
Calculated total energy = -30.6 eV per cell
Energy above the lowest structure with this stoichiometry = 0.0000 eV per atom
Theoretical density = 6.64 g/cm3

9.
Crystalline ScReGe at its relaxed geometry. Source: Alexandria, functional PBE.

Lattice parameters (Å, degrees): 11.971 3.659 6.973 90.00 90.00 90.00
Sites, in units of the cell vectors:
1 Sc 0.056 0.000 0.234
2 Sc 0.250 0.000 0.847
3 Sc 0.444 0.000 0.234
4 Sc 0.556 0.000 0.766
5 Sc 0.750 0.000 0.153
6 Sc 0.944 0.000 0.766
7 Re 0.102 0.500 0.550
8 Re 0.250 0.500 0.197
9 Re 0.398 0.500 0.550
10 Re 0.602 0.500 0.450
11 Re 0.750 0.500 0.803
12 Re 0.898 0.500 0.450
13 Ge 0.097 0.500 0.932
14 Ge 0.250 0.000 0.459
15 Ge 0.403 0.500 0.932
16 Ge 0.597 0.500 0.068
17 Ge 0.750 0.000 0.541
18 Ge 0.903 0.500 0.068

Calculated values
Formation energy from the elements = -0.408 eV/atom
Calculated total energy = -147.7 eV per cell
Theoretical density = 9.91 g/cm3

10.
Crystalline ScRe3Ge at its relaxed geometry. Source: Alexandria, functional PBE.

Lattice parameters (Å, degrees): 4.664 4.664 4.664 90.00 90.00 90.00
Sites, in units of the cell vectors:
1 Sc 0.000 0.000 0.000
2 Re 0.000 0.000 0.500
3 Re 0.000 0.500 0.000
4 Re 0.500 0.000 0.000
5 Ge 0.500 0.500 0.500

Calculated values
Formation energy from the elements = 2.513 eV/atom
Calculated total energy = -35.7 eV per cell
Energy above the lowest structure with this stoichiometry = 1.2916 eV per atom
Theoretical density = 11.07 g/cm3

11.
Crystalline Sc2ReGe4 at its relaxed geometry. Source: Alexandria, functional PBE.

Lattice parameters (Å, degrees): 7.493 7.493 7.493 142.57 142.57 53.97
Sites, in units of the cell vectors:
1 Sc 0.113 0.113 0.000
2 Sc 0.887 0.887 0.000
3 Re 0.500 0.500 0.000
4 Ge 0.000 0.500 0.500
5 Ge 0.310 0.310 0.000
6 Ge 0.500 0.000 0.500
7 Ge 0.690 0.690 0.000

Calculated values
Formation energy from the elements = 0.067 eV/atom
Calculated total energy = -43.1 eV per cell
Theoretical density = 6.10 g/cm3

12.
Crystalline ScReGe3 at its relaxed geometry. Source: Alexandria, functional PBE.

Lattice parameters (Å, degrees): 4.849 4.849 4.849 90.00 90.00 90.00
Sites, in units of the cell vectors:
1 Sc 0.000 0.000 0.000
2 Re 0.500 0.500 0.500
3 Ge 0.000 0.000 0.500
4 Ge 0.000 0.500 0.000
5 Ge 0.500 0.000 0.000

Calculated values
Formation energy from the elements = 1.642 eV/atom
Calculated total energy = -24.4 eV per cell
Energy above the lowest structure with this stoichiometry = 1.2432 eV per atom
Theoretical density = 6.54 g/cm3

> theoretical density of number 3 (ScReGe2)?

9.25 g/cm3

> Which formula does entry 5 have?

Sc2ReGe

> The lowest theoretical density belongs to which entry?

Sc2ReGe4